Material: Zr6ZnC4
Method: DFT, PBE
State: relaxed

abc: 3.3928 5.8718 17.7304
angles: 90.00 90.00 106.79
With the nearest neighbours (Å) after each atom.
Atoms (fractional coordinates):
C 0.8612 0.7224 0.5399  6 Zr 2.26-2.41
Zr 0.9631 0.9262 0.8500  3 C 2.26-2.27
Zr 0.3483 0.6966 0.2500  2 C 2.36
C 0.5899 0.1797 0.6228  6 Zr 2.27-2.42
Zr 0.5000 0.0000 0.0000  6 C 2.40-2.41
Zr 0.2256 0.4511 0.5777  5 C 2.30-2.42
C 0.5899 0.1797 0.8772  6 Zr 2.27-2.42
Zn 0.6582 0.3163 0.2500  6 Zr 2.73-2.81
Zr 0.2256 0.4511 0.9223  5 C 2.30-2.42
Zn 0.3418 0.6837 0.7500  6 Zr 2.73-2.81
Zr 0.0369 0.0738 0.1500  3 C 2.26-2.27
C 0.1388 0.2776 0.0399  6 Zr 2.26-2.41
C 0.8612 0.7224 0.9601  6 Zr 2.26-2.41
Zr 0.7744 0.5489 0.0777  5 C 2.30-2.42
Zr 0.0369 0.0738 0.3500  3 C 2.26-2.27
Zr 0.5000 0.0000 0.5000  6 C 2.40-2.41
Zr 0.6517 0.3034 0.7500  2 C 2.36
C 0.4101 0.8203 0.3772  6 Zr 2.27-2.42
C 0.1388 0.2776 0.4601  6 Zr 2.26-2.41
Zr 0.9631 0.9262 0.6500  3 C 2.26-2.27
Zr 0.7744 0.5489 0.4223  5 C 2.30-2.42
C 0.4101 0.8203 0.1228  6 Zr 2.27-2.42

Computed properties:
Calculated formation energy (eV per atom): -0.69
Space-group type: Cmcm (63)
Density of states at the Fermi level (states/eV/cell): 9.51

Material: Nd6Ga2TeSe3
Method: DFT, PBE
State: relaxed

abc: 4.1952 8.8680 9.6764
angles: 103.61 102.52 90.00
With the nearest neighbours (Å) after each atom.
Atoms (fractional coordinates):
Nd 0.9953 0.7342 0.9907  3 Se 2.97-3.08, 1 Ga 3.01, 2 Te 3.14
Nd 0.6662 0.5886 0.3325  3 Ga 3.03-3.06, 3 Se 3.05
Ga 0.1685 0.3383 0.3370  6 Nd 3.01-3.06
Se 0.8368 0.1639 0.6736  6 Nd 3.04-3.08
Se 0.5000 0.5000 0.0000  6 Nd 2.97-3.05
Nd 0.3291 0.9097 0.6582  3 Se 3.04-3.06, 2 Ga 3.05, 1 Te 3.13
Nd 0.0047 0.2658 0.0093  3 Se 2.97-3.08, 1 Ga 3.01, 2 Te 3.14
Se 0.1632 0.8361 0.3264  6 Nd 3.04-3.08
Ga 0.8315 0.6617 0.6630  6 Nd 3.01-3.06
Te 0.5000 0.0000 0.0000  6 Nd 3.13-3.14
Nd 0.3338 0.4114 0.6676  3 Ga 3.03-3.06, 3 Se 3.05
Nd 0.6709 0.0903 0.3418  3 Se 3.04-3.06, 2 Ga 3.05, 1 Te 3.13

Computed properties:
ΔE_f (raw) (meV per atom): -1347
Space-group type: C2/m (12)
Density of states at the Fermi level (states/eV/cell): 3.75

Material: RbBeInCl6
Method: DFT, PBE
State: relaxed

abc: 6.3544 6.3542 7.4399
angles: 90.00 90.00 60.00
With the nearest neighbours (Å) after each atom.
Atoms (fractional coordinates):
Cl 0.3856 0.6424 0.3157  1 Be 2.32, 1 In 2.55
Be 0.6667 0.6667 0.5000  6 Cl 2.32
Cl 0.9719 0.3856 0.3157  1 Be 2.32, 1 In 2.55
Cl 0.9719 0.6424 0.6843  1 Be 2.32, 1 In 2.55
Rb 0.0000 0.0000 0.0000  6 Cl 3.33
Cl 0.6423 0.3857 0.6843  1 Be 2.32, 1 In 2.55
Cl 0.6423 0.9720 0.3157  1 Be 2.32, 1 In 2.55
In 0.3333 0.3333 0.5000  6 Cl 2.55
Cl 0.3856 0.9720 0.6843  1 Be 2.32, 1 In 2.55

Computed properties:
ΔE_f (raw) (meV per atom): -1308
Space-group type: P312 (149)
Density of states at the Fermi level (states/eV/cell): 0.00

Number 1: total magnetization 0.00 μB per formula unit, V 15.37 Å³ per atom. Number 2: total magnetization 0.00 μB per formula unit, V 28.42 Å³ per atom. Number 3: total magnetization 0.00 μB per formula unit, V 28.91 Å³ per atom.